# 1
Cs2YI6O | PBE | optimized geometry

Properties
As for the density: 4.385 g cm⁻³. Its final energy is -31.73 eV for the cell shown. The calculation puts the uncorrected formation energy at -930 meV per atom. Its space group is I4/mmm (139).

```
Cs2YI6O
1.0
-2.1591 -7.2723 2.4524
3.9955 1.1100 6.8093
-4.6259 -0.4811 7.4600
I O Y Cs
6 1 1 2
direct
0.2705 0.2705 0.0000
0.2233 0.2233 0.5533
0.7295 0.2705 0.0000
0.7295 0.7295 0.0000
0.2705 0.7295 0.0000
0.7767 0.7767 0.4467
0.5000 0.5000 0.0000
0.0000 0.0000 0.0000
0.2500 0.7500 0.5000
0.7500 0.2500 0.5000
```

=====

# 2
CsYI2O | PBE | optimized geometry

Properties
As for the density: 4.549 g cm⁻³. Its final energy is -24.80 eV for the cell shown. The calculation puts the uncorrected formation energy at -1885 meV per atom. Its space group is P4/mmm (123).

```
CsYI2O
1.0
6.4796 0.0000 0.0000
0.0000 6.4796 0.0000
0.0000 0.0000 4.2739
I O Y Cs
2 1 1 1
direct
0.0000 0.5000 0.0000
0.5000 0.0000 0.0000
0.0000 0.0000 0.5000
0.0000 0.0000 0.0000
0.5000 0.5000 0.5000
```

=====

# 3
CsYIO2 | PBE | optimized geometry

Properties
As for the density: 4.507 g cm⁻³. Its final energy is -26.99 eV for the cell shown. The calculation puts the uncorrected formation energy at -1642 meV per atom. Its space group is P4/mmm (123).

```
CsYIO2
1.0
-3.6235 3.0191 0.0615
-2.9598 -3.5699 0.8625
0.8002 0.8342 6.1984
Y Cs I O
1 1 1 2
direct
0.0000 0.0000 0.0000
0.5000 0.5000 0.5000
0.0000 0.0000 0.5000
0.0000 0.5000 0.0000
0.5000 0.0000 0.0000
```

=====

# 4
CsYI2O | PBE | optimized geometry

Properties
As for the density: 4.129 g cm⁻³. Its final energy is -15.79 eV for the cell shown. The calculation puts the uncorrected formation energy at -83 meV per atom. Its space group is P4/mmm (123).

```
CsYI2O
1.0
6.7966 0.0000 0.0000
0.0000 6.7966 0.0000
0.0000 0.0000 4.2797
Cs I O Y
1 2 1 1
direct
0.0000 0.0000 0.0000
0.5000 0.0000 0.0000
0.0000 0.5000 0.0000
0.0000 0.0000 0.5000
0.5000 0.5000 0.5000
```